1.
# SrAl3Re, optimized geometry, DFT GGA-PBE
data_SrAl3Re
_cell_length_a 4.8715
_cell_length_b 4.8715
_cell_length_c 4.8715
_cell_angle_alpha 90.00
_cell_angle_beta 90.00
_cell_angle_gamma 90.00
_symmetry_space_group_name_H-M 'P m -3 m'
_symmetry_Int_Tables_number 221
_symmetry_space_group_name_Hall '-P 4 2 3'
loop_
_atom_site_label
_atom_site_type_symbol
_atom_site_fract_x
_atom_site_fract_y
_atom_site_fract_z
Sr1 Sr 0.0000 0.0000 0.0000
Al1 Al 0.0000 0.5000 0.5000
Re1 Re 0.5000 0.5000 0.5000
# offset from the most stable computed form	0.000	eV/atom
# E_form	-0.207	eV/atom
# total moment	0.000	μB per atom

=====

2.
# SrAlRe2, optimized geometry, DFT GGA-PBE
data_SrAlRe2
_cell_length_a 2.7031
_cell_length_b 5.1749
_cell_length_c 10.5359
_cell_angle_alpha 90.00
_cell_angle_beta 90.00
_cell_angle_gamma 90.00
_symmetry_space_group_name_H-M 'I m m m'
_symmetry_Int_Tables_number 71
_symmetry_space_group_name_Hall '-I 2 2'
loop_
_atom_site_label
_atom_site_type_symbol
_atom_site_fract_x
_atom_site_fract_y
_atom_site_fract_z
Sr1 Sr 0.0000 0.0000 0.0000
Al1 Al 0.0000 0.0000 0.5000
Re1 Re 0.0000 0.5000 0.2115
# E_form	0.701	eV/atom
# total moment	0.000	μB per atom

=====

3.
# Sr2AlRe, optimized geometry, DFT GGA-PBE
data_Sr2AlRe
_cell_length_a 4.6491
_cell_length_b 4.6491
_cell_length_c 9.4170
_cell_angle_alpha 90.00
_cell_angle_beta 90.00
_cell_angle_gamma 90.00
_symmetry_space_group_name_H-M 'I 4/m m m'
_symmetry_Int_Tables_number 139
_symmetry_space_group_name_Hall '-I 4 2'
loop_
_atom_site_label
_atom_site_type_symbol
_atom_site_fract_x
_atom_site_fract_y
_atom_site_fract_z
Sr1 Sr 0.0000 0.5000 0.2500
Al1 Al 0.0000 0.0000 0.0000
Re1 Re 0.0000 0.0000 0.5000
# E_form	0.835	eV/atom
# total moment	0.263	μB per atom

=====

4.
# SrAl2Re, optimized geometry, DFT GGA-PBE
data_SrAl2Re
_cell_length_a 2.9152
_cell_length_b 4.3462
_cell_length_c 14.3790
_cell_angle_alpha 90.00
_cell_angle_beta 90.00
_cell_angle_gamma 90.00
_symmetry_space_group_name_H-M 'I m m 2'
_symmetry_Int_Tables_number 44
loop_
_symmetry_equiv_pos_as_xyz
'x,y,z'
'-x,-y,z'
'-x,y,z'
'x,-y,z'
'x+1/2,y+1/2,z+1/2'
'-x+1/2,-y+1/2,z+1/2'
'-x+1/2,y+1/2,z+1/2'
'x+1/2,-y+1/2,z+1/2'
loop_
_atom_site_label
_atom_site_type_symbol
_atom_site_fract_x
_atom_site_fract_y
_atom_site_fract_z
Sr1 Sr 0.0000 0.0000 0.0000
Al1 Al 0.0000 0.0000 0.6514
Al2 Al 0.0000 0.5000 0.8051
Re1 Re 0.0000 0.5000 0.2993
# offset from the most stable computed form	0.164	eV/atom
# E_form	0.186	eV/atom
# total moment	0.000	μB per atom

=====

5.
# SrAl2Re, optimized geometry, DFT GGA-PBE
data_SrAl2Re
_cell_length_a 4.5376
_cell_length_b 4.5376
_cell_length_c 3.8527
_cell_angle_alpha 90.00
_cell_angle_beta 90.00
_cell_angle_gamma 90.00
_symmetry_space_group_name_H-M 'P 4/m m m'
_symmetry_Int_Tables_number 123
_symmetry_space_group_name_Hall '-P 4 2'
loop_
_atom_site_label
_atom_site_type_symbol
_atom_site_fract_x
_atom_site_fract_y
_atom_site_fract_z
Sr1 Sr 0.0000 0.0000 0.0000
Al1 Al 0.0000 0.5000 0.5000
Re1 Re 0.5000 0.5000 0.0000
# offset from the most stable computed form	0.663	eV/atom
# E_form	0.685	eV/atom
# total moment	0.000	μB per atom

=====

6.
# SrAl2Re, optimized geometry, DFT GGA-PBE
data_SrAl2Re
_cell_length_a 2.8730
_cell_length_b 4.2492
_cell_length_c 7.1780
_cell_angle_alpha 90.00
_cell_angle_beta 97.24
_cell_angle_gamma 90.00
_symmetry_space_group_name_H-M 'P 1 m 1'
_symmetry_Int_Tables_number 6
loop_
_symmetry_equiv_pos_as_xyz
'x,y,z'
'x,-y,z'
loop_
_atom_site_label
_atom_site_type_symbol
_atom_site_fract_x
_atom_site_fract_y
_atom_site_fract_z
Sr1 Sr 0.0000 0.0000 0.0000
Al1 Al 0.6035 0.5000 0.3214
Al2 Al 0.6723 0.0000 0.5715
Re1 Re 0.2056 0.5000 0.6382
# offset from the most stable computed form	0.193	eV/atom
# E_form	0.215	eV/atom
# total moment	0.000	μB per atom